VASP calculation (SCAN) on Fe3Co5 at its PBEsol-relaxed geometry.

Energy of formation from the pure elements ... -1.22 eV/f.u.
Space-group type ... R-3m (166)

POSCAR file:
```
Fe3Co5
1.0
1.968 1.136 6.442
-1.968 1.136 6.442
0.000 -2.273 6.442
Fe Co
3 5
Cartesian
0.000 0.000 0.000
0.000 0.000 4.790
0.000 0.000 14.537
0.000 0.000 2.384
0.000 0.000 7.230
0.000 0.000 9.663
0.000 0.000 12.096
0.000 0.000 16.943
```

VASP calculation (SCAN) on TaFe4Re at its PBEsol-relaxed geometry.

Energy of formation from the pure elements ... -0.25 eV/f.u.
Space-group type ... F-43m (216)

POSCAR file:
```
TaFe4Re
1.0
0.000 3.297 3.297
3.297 0.000 3.297
3.297 3.297 0.000
Ta Fe Re
1 4 1
Cartesian
0.000 0.000 0.000
2.473 2.473 2.473
4.121 4.121 2.473
4.121 2.473 4.121
2.473 4.121 4.121
4.945 4.945 4.945
```